(1)
The following is a PBE-GGA calculation of an optimized crystal structure of Sb2TeIBr, from Alexandria.

Cell: 5.9012 5.9012 5.9425 Å, 90.00 90.00 90.00°
Last column: magnetic moment on the atom in μB.
Sites, in units of the cell vectors:
Sb  0.0000  0.5000  0.0000  0.30
Sb  0.5000  0.0000  0.0000  0.30
I  0.0000  0.0000  0.5000  0.04
Br  0.5000  0.5000  0.5000  0.02
Te  0.0000  0.0000  0.0000  -0.03

## Properties
V: 41.39 Å³ per atom
SG: P4/mmm, No. 123
E_form (uncorrected): 595 meV per atom
Total magnetization: 0.302 μB/atom

(2)
The following is a PBE-GGA calculation of an optimized crystal structure of PmTh5Pb6, from Alexandria.

Cell: 7.9247 7.9324 7.9269 Å, 59.98 80.41 70.55°
Sites, in units of the cell vectors:
Pb  0.2491  0.9170  0.6676
Pb  0.7503  0.7508  0.0000
Pb  0.2491  0.5845  0.3324
Pb  0.2497  0.2492  0.0000
Pb  0.7509  0.4155  0.6676
Pb  0.7509  0.0830  0.3324
Th  0.0000  0.6666  0.6668
Th  0.5000  0.5000  0.0000
Th  0.5000  0.1669  0.6662
Th  0.5000  0.8331  0.3338
Th  0.0000  0.3334  0.3332
Pm  0.0000  0.0000  0.0000

## Properties
V: 33.90 Å³ per atom
SG: C2/m, No. 12
Total magnetization: 0.000 μB/atom
ΔH_f (0 K): -0.293 eV/atom

no.,D(E_F) (states/eV/atom)
1,1.1080
2,0.5138